Compound: K3U2ZnTe6
Source: Alexandria
Functional: PBE
Structure: relaxed

Formation energy from raw total energies in eV per atom: -0.76
Calculated total energy in eV/atom: -4.5878
Crystal system: monoclinic
Space group: C2/m (12)

Unit cell a=7.7916 b=7.7916 c=8.5493 alpha=98.75 beta=98.75 gamma=120.02
Last column: magnetic moment on the atom in μB.
Fractional coordinates of all 12 atoms:
1 U 0.3335 0.6665 0.0000  2.48
2 U 0.6665 0.3335 0.0000  2.48
3 K 0.5000 0.5000 0.5000  0.00
4 K 0.8317 0.1683 0.5000  0.00
5 K 0.1683 0.8317 0.5000  0.00
6 Te 0.3918 0.0670 0.2013  -0.06
7 Te 0.2572 0.2572 0.7981  -0.06
8 Te 0.6082 0.9330 0.7987  -0.06
9 Te 0.9330 0.6082 0.7987  -0.06
10 Te 0.0670 0.3918 0.2013  -0.06
11 Te 0.7428 0.7428 0.2019  -0.06
12 Zn 0.0000 0.0000 0.0000  0.08

=====

Compound: K4ZrU3Te8
Source: Alexandria
Functional: PBE
Structure: relaxed

Formation energy from raw total energies in eV per atom: -0.88
Calculated total energy in eV/atom: -5.3712
Crystal system: trigonal
Space group: R-3m (166)

Unit cell a=8.8159 b=9.7994 c=8.8170 alpha=116.74 beta=120.00 gamma=90.00
Last column: magnetic moment on the atom in μB.
Fractional coordinates of all 16 atoms:
1 Te 0.2305 0.7090 0.9786  -0.05
2 Te 0.2614 0.2843 0.5228  -0.06
3 Te 0.2519 0.2910 0.0214  -0.05
4 Te 0.7695 0.2910 0.0214  -0.05
5 Te 0.7695 0.2910 0.5390  -0.05
6 Te 0.7386 0.7157 0.4772  -0.06
7 Te 0.2305 0.7090 0.4610  -0.05
8 Te 0.7481 0.7090 0.9786  -0.05
9 K 0.0000 0.0000 0.5000  0.00
10 K 0.5000 0.0000 0.5000  0.00
11 K 0.0000 0.0000 0.0000  0.00
12 K 0.5000 0.0000 0.0000  0.00
13 U 0.5000 0.5000 0.5000  2.76
14 U 0.5000 0.5000 0.0000  2.76
15 U 0.0000 0.5000 0.5000  2.76
16 Zr 0.0000 0.5000 0.0000  0.69

=====

Compound: K2ZrU2Te6
Source: Alexandria
Functional: PBE
Structure: relaxed

Formation energy from raw total energies in eV per atom: -0.86
Calculated total energy in eV/atom: -5.6075
Crystal system: monoclinic
Space group: C2/m (12)

Unit cell a=7.4258 b=7.4258 c=8.9578 alpha=98.25 beta=98.25 gamma=119.83
Last column: magnetic moment on the atom in μB.
Fractional coordinates of all 11 atoms:
1 U 0.3319 0.6681 0.5000  2.56
2 U 0.6681 0.3319 0.5000  2.56
3 K 0.1697 0.8303 0.0000  0.00
4 K 0.8303 0.1697 0.0000  0.00
5 Zr 0.0000 0.0000 0.5000  0.47
6 Te 0.3930 0.0755 0.7083  -0.06
7 Te 0.0755 0.3930 0.7083  -0.06
8 Te 0.2522 0.2522 0.2939  -0.06
9 Te 0.7478 0.7478 0.7061  -0.06
10 Te 0.6070 0.9245 0.2917  -0.06
11 Te 0.9245 0.6070 0.2917  -0.06

=====

Compound: K2Zr2UTe6
Source: Alexandria
Functional: PBE
Structure: relaxed

Formation energy from raw total energies in eV per atom: -0.92
Calculated total energy in eV/atom: -5.4133
Crystal system: monoclinic
Space group: C2/m (12)

Unit cell a=7.2779 b=7.2779 c=8.9339 alpha=97.58 beta=97.58 gamma=120.23
Last column: magnetic moment on the atom in μB.
Fractional coordinates of all 11 atoms:
1 K 0.1622 0.8378 0.0000  0.00
2 K 0.8378 0.1622 0.0000  0.00
3 Zr 0.3319 0.6681 0.5000  0.41
4 Zr 0.6681 0.3319 0.5000  0.41
5 Te 0.5879 0.9306 0.2945  -0.04
6 Te 0.2826 0.2826 0.2959  -0.04
7 Te 0.4121 0.0694 0.7055  -0.04
8 Te 0.7174 0.7174 0.7041  -0.04
9 Te 0.9306 0.5879 0.2945  -0.04
10 Te 0.0694 0.4121 0.7055  -0.04
11 U 0.0000 0.0000 0.5000  2.52

=====

Compound: KVTe4
Source: Alexandria
Functional: PBE
Structure: relaxed

Formation energy from raw total energies in eV per atom: -0.36
Calculated total energy in eV/atom: -4.1561
Crystal system: monoclinic
Space group: C2/m (12)

Unit cell a=5.9674 b=8.6167 c=9.0634 alpha=118.38 beta=94.21 gamma=90.00
Last column: magnetic moment on the atom in μB.
Fractional coordinates of all 12 atoms:
1 Te 0.6115 0.4118 0.2217  -0.02
2 Te 0.6115 0.8099 0.2217  -0.02
3 Te 0.0000 0.2490 0.0000  -0.04
4 Te 0.3885 0.1901 0.7783  -0.02
5 Te 0.3885 0.5882 0.7783  -0.02
6 Te 0.0000 0.7510 0.0000  -0.04
7 Te 0.7405 0.3133 0.6267  0.02
8 Te 0.2595 0.6867 0.3733  0.02
9 K 0.7892 0.8216 0.6431  0.00
10 K 0.2108 0.1784 0.3569  0.00
11 V 0.7139 0.4840 0.9681  0.73
12 V 0.2861 0.5160 0.0319  0.73

=====

Compound: K3VTe3
Source: Alexandria
Functional: PBE
Structure: relaxed

Formation energy from raw total energies in eV per atom: -0.78
Calculated total energy in eV/atom: -3.9005
Crystal system: monoclinic
Space group: P2_1/c (14)

Unit cell a=8.5809 b=9.8346 c=13.5587 alpha=98.36 beta=90.00 gamma=90.00
Last column: magnetic moment on the atom in μB.
Fractional coordinates of all 28 atoms:
1 K 0.2683 0.3993 0.4210  0.00
2 K 0.7790 0.3012 0.2861  0.00
3 K 0.3318 0.0832 0.6231  0.00
4 K 0.8318 0.9168 0.8769  0.00
5 K 0.2210 0.6988 0.7139  0.00
6 K 0.7317 0.6007 0.5790  0.00
7 K 0.7210 0.3012 0.7861  0.00
8 K 0.6682 0.9168 0.3769  0.00
9 K 0.7683 0.6007 0.0790  0.00
10 K 0.1682 0.0832 0.1231  0.00
11 K 0.2317 0.3993 0.9210  0.00
12 K 0.2790 0.6988 0.2139  0.00
13 V 0.9207 0.1730 0.5453  1.98
14 V 0.5793 0.1730 0.0453  1.98
15 V 0.0793 0.8270 0.4547  1.98
16 V 0.4207 0.8270 0.9547  1.98
17 Te 0.9306 0.6314 0.3426  -0.06
18 Te 0.5714 0.9339 0.1220  -0.07
19 Te 0.4286 0.0661 0.8780  -0.07
20 Te 0.1325 0.7496 0.9809  -0.05
21 Te 0.9286 0.9339 0.6220  -0.07
22 Te 0.0714 0.0661 0.3780  -0.07
23 Te 0.4306 0.3686 0.1574  -0.06
24 Te 0.8675 0.2504 0.0191  -0.05
25 Te 0.3675 0.7496 0.4809  -0.05
26 Te 0.0694 0.3686 0.6574  -0.06
27 Te 0.6325 0.2504 0.5191  -0.05
28 Te 0.5694 0.6314 0.8426  -0.06

=====

Calculated total moment in order - 0.417, 0.626, 0.547, 0.347, 0.133, 0.286 μB/atom